The following is a PBEsol calculation of a geometry-optimized Y4MgRh structure, from Alexandria via LeMat-Bulk.

Summary:
Calculated formation energy: -0.3812 eV/atom

Lattice parameters (Å, degrees): 9.6006 9.6006 9.6006 60.00 60.00 60.00
Fractional coordinates of all 24 atoms:
Y1 0.6535 0.6535 0.0396
Y2 0.0640 0.4360 0.4360
Y3 0.4360 0.0640 0.4360
Y4 0.6535 0.0396 0.6535
Y5 0.4360 0.4360 0.0640
Y6 0.0640 0.4360 0.0640
Y7 0.0640 0.0640 0.4360
Y8 0.1873 0.8127 0.8127
Y9 0.0396 0.6535 0.6535
Y10 0.1873 0.1873 0.8127
Y11 0.1873 0.8127 0.1873
Y12 0.8127 0.1873 0.8127
Y13 0.6535 0.6535 0.6535
Y14 0.4360 0.0640 0.0640
Y15 0.8127 0.1873 0.1873
Y16 0.8127 0.8127 0.1873
Mg1 0.4203 0.4203 0.7391
Mg2 0.4203 0.4203 0.4203
Mg3 0.7391 0.4203 0.4203
Mg4 0.4203 0.7391 0.4203
Rh1 0.4252 0.8583 0.8583
Rh2 0.8583 0.8583 0.8583
Rh3 0.8583 0.8583 0.4252
Rh4 0.8583 0.4252 0.8583



The following is a PBEsol calculation of a geometry-optimized Nb3SnS6 structure, from Alexandria via LeMat-Bulk.

Summary:
Raw formation energy: -1.10 eV per atom

Lattice parameters (Å, degrees): 5.7631 5.7631 14.3566 90.00 90.00 120.00
Fractional coordinates of all 20 atoms:
S1 0.9991 0.3318 0.3914
S2 0.6682 0.6672 0.3914
S3 0.3318 0.3328 0.8914
S4 0.3318 0.9991 0.6086
S5 0.3328 0.3318 0.1086
S6 0.0009 0.6682 0.8914
S7 0.6682 0.0009 0.1086
S8 0.9991 0.6672 0.1086
S9 0.6672 0.9991 0.8914
S10 0.6672 0.6682 0.6086
S11 0.0009 0.3328 0.6086
S12 0.3328 0.0009 0.3914
Sn1 0.6667 0.3333 0.7500
Sn2 0.3333 0.6667 0.2500
Nb1 0.3333 0.6667 0.5008
Nb2 0.3333 0.6667 0.9992
Nb3 0.0000 0.0000 0.5000
Nb4 0.6667 0.3333 0.4992
Nb5 0.0000 0.0000 0.0000
Nb6 0.6667 0.3333 0.0008



The following is a PBEsol calculation of a geometry-optimized BaSrOs2 structure, from Alexandria via LeMat-Bulk.

Summary:
Calculated formation energy: 0.6640 eV/atom

Lattice parameters (Å, degrees): 3.5199 3.5199 9.2611 90.00 90.00 90.00
Fractional coordinates of all 4 atoms:
Sr1 0.0000 0.0000 0.4167
Os1 0.0000 0.0000 0.1050
Os2 0.5000 0.5000 0.1516
Ba1 0.5000 0.5000 0.8267



The following is a PBEsol calculation of a geometry-optimized LiAl2Tc structure, from Alexandria via LeMat-Bulk.

Summary:
Calculated formation energy: -0.2414 eV/atom

Lattice parameters (Å, degrees): 4.2674 4.2674 4.2674 60.00 60.00 60.00
Fractional coordinates of all 4 atoms:
Al1 0.2500 0.2500 0.2500
Al2 0.7500 0.7500 0.7500
Li1 0.0000 0.0000 0.0000
Tc1 0.5000 0.5000 0.5000



The following is a PBEsol calculation of a geometry-optimized FePt5 structure, from Alexandria via LeMat-Bulk.

Summary:
Calculated formation energy: -0.0602 eV/atom

Lattice parameters (Å, degrees): 2.7272 4.5403 7.2082 90.00 100.90 90.00
Last column: magnetic moment on the atom in μB.
Fractional coordinates of all 6 atoms:
Fe1 0.0005 0.0000 0.0009  3.17
Pt1 0.6601 0.0000 0.3202  0.33
Pt2 0.7777 0.5000 0.5554  0.24
Pt3 0.1103 0.5000 0.2206  0.28
Pt4 0.4461 0.5000 0.8921  0.30
Pt5 0.3388 0.0000 0.6775  0.31



The following is a PBEsol calculation of a geometry-optimized CeSbPt5 structure, from Alexandria via LeMat-Bulk.

Summary:
Raw formation energy: -0.69 eV per atom

Lattice parameters (Å, degrees): 5.3055 5.3055 10.7715 75.74 75.74 60.00
Last column: magnetic moment on the atom in μB.
Fractional coordinates of all 14 atoms:
Pt1 0.6214 0.0753 0.7803  -0.01
Pt2 0.4770 0.3786 0.2197  -0.01
Pt3 0.3786 0.9247 0.2197  -0.01
Pt4 0.6662 0.6662 0.0015  -0.03
Pt5 0.5230 0.6214 0.7803  -0.01
Pt6 0.1864 0.1864 0.4407  -0.02
Pt7 0.8136 0.8136 0.5593  -0.02
Pt8 0.9247 0.4770 0.2197  -0.01
Pt9 0.3338 0.3338 0.9985  -0.03
Pt10 0.0753 0.5230 0.7803  -0.01
Ce1 0.5000 0.5000 0.5000  0.34
Ce2 0.0000 0.0000 0.0000  0.30
Sb1 0.8944 0.8944 0.3169  0.00
Sb2 0.1056 0.1056 0.6831  0.00



Number 1: E -157.73 eV/cell. Number 2: E -148.09 eV/cell. Number 3: E -25.77 eV/cell. Number 4: E -22.38 eV/cell. Number 5: E -44.14 eV/cell. Number 6: E -101.56 eV/cell.